## Na2VP2O8 (meta-GGA SCAN)

Data for a PBEsol-optimized structure of Na2VP2O8.

Output
As for the total energy: -9.93 eV/atom. As for the space-group type: P4bm, No. 100. The calculation puts the density of states at the Fermi level at 0.000 states/eV per cell. The calculation puts the theoretical density at 2.9 g/cm3. The offset from the most stable computed form is 0.905 kcal/mol of atoms.

abc: 4.904 8.247 8.247
angles: 90.00 90.00 90.00
Fractional positions:
1 O 0.280 0.372 0.128
2 O 0.280 0.628 0.872
3 P 0.975 0.370 0.130
4 O 0.837 0.212 0.078
5 V 0.957 0.500 0.500
6 O 0.837 0.422 0.288
7 O 0.837 0.788 0.922
8 O 0.851 0.000 0.500
9 O 0.280 0.872 0.372
10 P 0.975 0.630 0.870
11 O 0.837 0.078 0.788
12 O 0.837 0.712 0.422
13 O 0.851 0.500 0.000
14 O 0.280 0.128 0.628
15 O 0.837 0.288 0.578
16 Na 0.509 0.675 0.175
17 O 0.837 0.578 0.712
18 O 0.284 0.500 0.500
19 O 0.284 0.000 0.000
20 V 0.957 0.000 0.000
21 O 0.837 0.922 0.212
22 P 0.975 0.130 0.630
23 Na 0.509 0.175 0.325
24 Na 0.509 0.825 0.675
25 P 0.975 0.870 0.370
26 Na 0.509 0.325 0.825

---

## SrGeSb2I (meta-GGA SCAN)

Data for a PBEsol-optimized structure of SrGeSb2I.

Output
As for the total energy: -29.74 eV/atom. As for the space-group type: P4/mmm, No. 123. The calculation puts the density of states at the Fermi level at 4.703 states/eV per cell. The calculation puts the theoretical density at 4.2 g/cm3.

abc: 5.870 5.985 5.985
angles: 90.00 90.00 90.00
Fractional positions:
1 Sb 0.000 0.000 0.500
2 Ge 0.500 0.500 0.500
3 Sb 0.000 0.500 0.000
4 Sr 0.000 0.000 0.000
5 I 0.500 0.000 0.000

---

## FeAgPt2 (meta-GGA SCAN)

Data for a PBEsol-optimized structure of FeAgPt2.

Output
The formation energy comes out at -8 kJ/mol of atoms. As for the total energy: -47.55 eV/atom. As for the space-group type: I-4m2, No. 119. The calculation puts the density of states at the Fermi level at 2.257 states/eV per cell. The calculation puts the theoretical density at 15.7 g/cm3.

abc: 3.850 3.850 4.793
angles: 113.68 113.68 90.00
Fractional positions:
1 Ag 0.500 0.500 0.000
2 Pt 0.000 0.000 0.000
3 Fe 0.750 0.250 0.500
4 Pt 0.250 0.750 0.500

---

## Rb2NaBr (meta-GGA SCAN)

Data for a PBEsol-optimized structure of Rb2NaBr.

Output
As for the total energy: -17.09 eV/atom. As for the space-group type: I-42d, No. 122. The calculation puts the density of states at the Fermi level at 1.314 states/eV per cell. The calculation puts the theoretical density at 1.9 g/cm3.

abc: 8.537 8.537 8.537
angles: 107.98 110.22 110.22
Fractional positions:
1 Rb 0.069 0.694 0.125
2 Na 0.500 0.250 0.750
3 Rb 0.431 0.375 0.306
4 Rb 0.569 0.875 0.944
5 Br 0.500 0.750 0.250
6 Rb 0.931 0.056 0.625
7 Br 0.000 0.000 0.000
8 Na 0.000 0.500 0.500